CsLaNb2: relaxed, PBE-GGA.

The space group is Fm-3m (No. 225) and the conventional cell measures 7.4263, 7.4263 and 7.4263 Å, with angles of 90.00, 90.00 and 90.00 degrees. Symmetry generates all atoms from Cs at (0.0000, 0.0000, 0.0000), La at (0.0000, 0.0000, 0.5000) and Nb at (0.2500, 0.2500, 0.2500).

Its electronic total energy is -4.87 eV per atom. As for the energy above the lowest structure with this stoichiometry: 15.5 kJ/mol of atoms.